VASP calculation (GGA-PBE) on a relaxed structure of Th2Zn3Ag.

Values from the calculation:
excess energy over the best structure of this formula in the dataset = 0.061 eV/atom
SG = No. 44

abc: 3.6036 4.7079 8.5000
angles: 106.08 102.24 90.00
Closest atoms and distances in Å follow each position.
Fractional positions:
Zn: 0.2992 0.7992 0.5984  2 Zn 2.42, 1 Ag 2.62
Zn: 0.5393 0.5393 0.0786  1 Zn 2.52, 2 Ag 2.64
Zn: 0.6976 0.6976 0.3953  3 Zn 2.42-2.52
Th: 0.1350 0.1350 0.2700  8 Zn 3.13-3.33, 2 Ag 3.27
Th: 0.8653 0.3653 0.7305  6 Zn 3.15-3.31, 4 Ag 3.35
Ag: 0.4636 0.9636 0.9272  3 Zn 2.62-2.64

=====

VASP calculation (GGA-PBE) on a relaxed structure of ThZn2Ag2.

Values from the calculation:
SG = No. 139

abc: 4.2464 4.2464 6.4120
angles: 109.33 109.33 90.02
Closest atoms and distances in Å follow each position.
Fractional positions:
Th: 0.0000 0.0000 0.0000  8 Zn 3.25, 8 Ag 3.54
Ag: 0.2500 0.7500 0.5000  4 Zn 2.65
Ag: 0.7500 0.2500 0.5000  4 Zn 2.65
Zn: 0.6096 0.6096 0.2192  1 Zn 2.48, 4 Ag 2.65
Zn: 0.3904 0.3904 0.7808  1 Zn 2.48, 4 Ag 2.65

=====

VASP calculation (GGA-PBE) on a relaxed structure of ThZnAg.

Values from the calculation:
SG = No. 12

abc: 4.7649 5.8904 5.8263
angles: 71.41 65.86 66.14
Closest atoms and distances in Å follow each position.
Fractional positions:
Zn: 0.6612 0.3575 0.3202  1 Zn 2.66, 2 Ag 2.75
Zn: 0.3388 0.6425 0.6798  1 Zn 2.66, 2 Ag 2.75
Th: 0.9871 0.7679 0.2580  6 Ag 3.18-3.28, 6 Zn 3.23-3.27, 2 Th 3.36-3.50
Th: 0.0129 0.2321 0.7420  6 Ag 3.18-3.28, 6 Zn 3.23-3.27, 2 Th 3.36-3.50
Ag: 0.6731 0.8066 0.8473  2 Zn 2.75, 1 Ag 2.87
Ag: 0.3269 0.1934 0.1527  2 Zn 2.75, 1 Ag 2.87

=====

VASP calculation (GGA-PBE) on a relaxed structure of Th2Zn2Ag3.

Values from the calculation:
excess energy over the best structure of this formula in the dataset = 0.000 eV/atom
SG = No. 63

abc: 4.3823 7.2215 10.1230
angles: 90.00 102.50 90.00
Closest atoms and distances in Å follow each position.
Fractional positions:
Th: 0.0574 0.7500 0.1148  5 Ag 3.14-3.26
Th: 0.9426 0.2500 0.8852  5 Ag 3.14-3.26
Th: 0.8392 0.7500 0.6784  6 Zn 3.18-3.23, 6 Ag 3.19-3.21
Th: 0.1608 0.2500 0.3216  6 Zn 3.18-3.23, 6 Ag 3.19-3.21
Ag: 0.5644 0.4400 0.1288  1 Zn 2.65, 2 Ag 2.69-2.74
Ag: 0.4356 0.5600 0.8712  1 Zn 2.65, 2 Ag 2.69-2.74
Ag: 0.2221 0.7500 0.4442  6 Zn 2.66-2.81
Ag: 0.5644 0.0600 0.1288  1 Zn 2.65, 2 Ag 2.69-2.74
Ag: 0.7779 0.2500 0.5558  6 Zn 2.66-2.81
Ag: 0.4356 0.9400 0.8712  1 Zn 2.65, 2 Ag 2.69-2.74
Zn: 0.6915 0.5586 0.3830  4 Ag 2.65-2.81, 1 Zn 2.76
Zn: 0.3085 0.0586 0.6170  4 Ag 2.65-2.81, 1 Zn 2.76
Zn: 0.3085 0.4414 0.6170  4 Ag 2.65-2.81, 1 Zn 2.76
Zn: 0.6915 0.9414 0.3830  4 Ag 2.65-2.81, 1 Zn 2.76

=====

VASP calculation (GGA-PBE) on a relaxed structure of ThZn3Ag.

Values from the calculation:
SG = No. 11

abc: 5.8766 5.6073 5.9210
angles: 90.00 87.69 90.00
Closest atoms and distances in Å follow each position.
Fractional positions:
Zn: 0.1489 0.0015 0.1637  5 Zn 2.66-2.82, 2 Ag 2.73-2.79
Zn: 0.1370 0.7500 0.5516  4 Zn 2.69-2.72, 1 Ag 2.72
Zn: 0.8511 0.5015 0.8363  5 Zn 2.66-2.82, 2 Ag 2.73-2.79
Zn: 0.8630 0.2500 0.4484  4 Zn 2.69-2.72, 1 Ag 2.72
Zn: 0.1489 0.4985 0.1637  5 Zn 2.66-2.82, 2 Ag 2.73-2.79
Zn: 0.8511 0.9985 0.8363  5 Zn 2.66-2.82, 2 Ag 2.73-2.79
Th: 0.3348 0.2500 0.6500  8 Zn 3.06-3.42, 4 Ag 3.12-3.31
Th: 0.6652 0.7500 0.3500  8 Zn 3.06-3.42, 4 Ag 3.12-3.31
Ag: 0.4512 0.7500 0.8765  5 Zn 2.72-2.79
Ag: 0.5488 0.2500 0.1235  5 Zn 2.72-2.79

=====

VASP calculation (GGA-PBE) on a relaxed structure of Th2ZnAg2.

Values from the calculation:
SG = No. 12

abc: 4.7366 5.8987 9.8805
angles: 72.25 76.13 66.33
Closest atoms and distances in Å follow each position.
Fractional positions:
Th: 0.1723 0.7217 0.9337  2 Zn 3.15, 6 Ag 3.23-3.31, 3 Th 3.40-3.51
Th: 0.0716 0.2285 0.6283  7 Ag 3.18-3.26, 4 Zn 3.24-3.37, 2 Th 3.36-3.51
Th: 0.8277 0.2783 0.0663  2 Zn 3.15, 6 Ag 3.23-3.31, 3 Th 3.40-3.51
Th: 0.9284 0.7715 0.3717  7 Ag 3.18-3.26, 4 Zn 3.24-3.37, 2 Th 3.36-3.51
Ag: 0.5082 0.8397 0.1440  1 Zn 2.75, 2 Ag 2.90-3.06
Ag: 0.6249 0.3613 0.3890  2 Zn 2.73, 1 Ag 2.88
Ag: 0.3751 0.6387 0.6110  2 Zn 2.73, 1 Ag 2.88
Ag: 0.4918 0.1603 0.8560  1 Zn 2.75, 2 Ag 2.90-3.06
Zn: 0.2438 0.2250 0.2875  3 Ag 2.73-2.75
Zn: 0.7562 0.7750 0.7125  3 Ag 2.73-2.75

=====

VASP calculation (GGA-PBE) on a relaxed structure of ThZn9Ag3.

Values from the calculation:
SG = No. 12

abc: 5.3022 7.0447 7.0036
angles: 81.74 67.76 67.68
Closest atoms and distances in Å follow each position.
Fractional positions:
Zn: 0.3495 0.6418 0.6438  5 Zn 2.63-2.92, 3 Ag 2.82-2.87
Zn: 0.9933 0.6418 0.3562  5 Zn 2.63-2.92, 3 Ag 2.82-2.87
Zn: 0.6505 0.3582 0.3562  5 Zn 2.63-2.92, 3 Ag 2.82-2.87
Zn: 0.0067 0.3582 0.6438  5 Zn 2.63-2.92, 3 Ag 2.82-2.87
Zn: 0.7234 0.7802 0.7841  6 Zn 2.64-2.92, 3 Ag 2.67-2.70
Zn: 0.4925 0.2198 0.7841  6 Zn 2.64-2.92, 3 Ag 2.67-2.70
Zn: 0.5075 0.7802 0.2159  6 Zn 2.64-2.92, 3 Ag 2.67-2.70
Zn: 0.2766 0.2198 0.2159  6 Zn 2.64-2.92, 3 Ag 2.67-2.70
Zn: 0.0000 0.5000 0.0000  8 Zn 2.64-2.80, 2 Ag 2.65
Ag: 0.5000 0.5000 0.0000  10 Zn 2.65-2.84
Ag: 0.0000 0.0000 0.5000  2 Ag 2.65, 8 Zn 2.67-2.87
Ag: 0.5000 0.0000 0.5000  2 Ag 2.65, 8 Zn 2.67-2.87
Th: 0.0000 0.0000 0.0000  14 Zn 3.28-3.52, 6 Ag 3.50-3.51

=====

VASP calculation (GGA-PBE) on a relaxed structure of ThZn4Ag4.

Values from the calculation:
SG = No. 87

abc: 4.6746 8.6249 8.6249
angles: 90.00 90.00 90.00
Closest atoms and distances in Å follow each position.
Fractional positions:
Ag: 0.5000 0.8653 0.5886  4 Zn 2.62-2.75, 1 Ag 2.78
Ag: 0.5000 0.1347 0.4114  4 Zn 2.62-2.75, 1 Ag 2.78
Ag: 0.0000 0.6347 0.9114  4 Zn 2.62-2.75, 1 Ag 2.78
Ag: 0.5000 0.4114 0.8653  4 Zn 2.62-2.75, 1 Ag 2.78
Ag: 0.0000 0.0886 0.6347  4 Zn 2.62-2.75, 1 Ag 2.78
Ag: 0.0000 0.9114 0.3653  4 Zn 2.62-2.75, 1 Ag 2.78
Ag: 0.0000 0.3653 0.0886  4 Zn 2.62-2.75, 1 Ag 2.78
Ag: 0.5000 0.5886 0.1347  4 Zn 2.62-2.75, 1 Ag 2.78
Zn: 0.0001 0.7188 0.6197  4 Ag 2.62-2.75
Zn: 0.5001 0.8803 0.2188  4 Ag 2.62-2.75
Zn: 0.9999 0.6197 0.2812  4 Ag 2.62-2.75
Zn: 0.9999 0.3803 0.7188  4 Ag 2.62-2.75
Zn: 0.4999 0.2188 0.1197  4 Ag 2.62-2.75
Zn: 0.5001 0.1197 0.7812  4 Ag 2.62-2.75
Zn: 0.4999 0.7812 0.8803  4 Ag 2.62-2.75
Zn: 0.0001 0.2812 0.3803  4 Ag 2.62-2.75
Th: 0.0000 0.0000 0.0000  8 Zn 3.18, 4 Ag 3.24
Th: 0.5000 0.5000 0.5000  8 Zn 3.18, 4 Ag 3.24

=====

VASP calculation (GGA-PBE) on a relaxed structure of Th2Zn4Ag3.

Values from the calculation:
SG = No. 64

abc: 6.1214 7.7406 8.3818
angles: 90.00 111.42 90.00
Closest atoms and distances in Å follow each position.
Fractional positions:
Ag: 0.4736 0.2500 0.4473  5 Zn 2.68-2.82
Ag: 0.0000 0.0000 0.0000  6 Zn 2.60-2.73
Ag: 0.0264 0.7500 0.5527  5 Zn 2.68-2.82
Ag: 0.5000 0.5000 0.0000  6 Zn 2.60-2.73
Ag: 0.9736 0.2500 0.4473  5 Zn 2.68-2.82
Ag: 0.5264 0.7500 0.5527  5 Zn 2.68-2.82
Zn: 0.1983 0.7500 0.8966  3 Ag 2.60-2.68
Zn: 0.6983 0.7500 0.8966  3 Ag 2.60-2.68
Zn: 0.6745 0.5234 0.3490  5 Ag 2.72-2.82
Zn: 0.8017 0.2500 0.1034  3 Ag 2.60-2.68
Zn: 0.8255 0.0234 0.6510  5 Ag 2.72-2.82
Zn: 0.3255 0.4766 0.6510  5 Ag 2.72-2.82
Zn: 0.1745 0.9766 0.3490  5 Ag 2.72-2.82
Zn: 0.3017 0.2500 0.1034  3 Ag 2.60-2.68
Th: 0.1141 0.5827 0.2281  8 Zn 3.15-3.40, 4 Ag 3.23-3.45
Th: 0.8859 0.4173 0.7719  8 Zn 3.15-3.40, 4 Ag 3.23-3.45
Th: 0.3859 0.0827 0.7719  8 Zn 3.15-3.40, 4 Ag 3.23-3.45
Th: 0.6141 0.9173 0.2281  8 Zn 3.15-3.40, 4 Ag 3.23-3.45

=====

VASP calculation (GGA-PBE) on a relaxed structure of ThZn2Ag.

Values from the calculation:
SG = No. 38

abc: 4.5800 5.7643 6.7783
angles: 90.00 90.00 113.41
Closest atoms and distances in Å follow each position.
Fractional positions:
Ag: 0.2882 0.5764 0.7992  1 Ag 2.72, 4 Zn 2.75-2.82
Ag: 0.2882 0.5764 0.2008  1 Ag 2.72, 4 Zn 2.75-2.82
Th: 0.5783 0.1566 0.0000  7 Zn 3.13-3.16, 6 Ag 3.36-3.47
Th: 0.7550 0.5099 0.5000  5 Zn 3.06-3.26, 4 Ag 3.08
Zn: 0.8770 0.7540 0.0000  2 Zn 2.70, 4 Ag 2.82
Zn: 0.0380 0.0760 0.3095  4 Zn 2.58-2.74, 1 Ag 2.75
Zn: 0.4661 0.9322 0.5000  4 Zn 2.74, 2 Ag 2.77, 1 Th 3.06
Zn: 0.0380 0.0760 0.6905  4 Zn 2.58-2.74, 1 Ag 2.75

=====

VASP calculation (GGA-PBE) on a relaxed structure of Th4ZnAg.

Values from the calculation:
SG = No. 124

abc: 5.7003 7.6191 7.6191
angles: 90.00 90.00 90.00
Closest atoms and distances in Å follow each position.
Fractional positions:
Th: 0.0000 0.8394 0.3472  2 Zn 3.17, 2 Ag 3.24, 3 Th 3.38-3.49
Th: 0.5000 0.3472 0.8394  2 Zn 3.17, 2 Ag 3.24, 3 Th 3.38-3.49
Th: 0.5000 0.6528 0.1606  2 Zn 3.17, 2 Ag 3.24, 3 Th 3.38-3.49
Th: 0.5000 0.8394 0.6528  2 Zn 3.17, 2 Ag 3.24, 3 Th 3.38-3.49
Th: 0.0000 0.3472 0.1606  2 Zn 3.17, 2 Ag 3.24, 3 Th 3.38-3.49
Th: 0.0000 0.6528 0.8394  2 Zn 3.17, 2 Ag 3.24, 3 Th 3.38-3.49
Th: 0.0000 0.1606 0.6528  2 Zn 3.17, 2 Ag 3.24, 3 Th 3.38-3.49
Th: 0.5000 0.1606 0.3472  2 Zn 3.17, 2 Ag 3.24, 3 Th 3.38-3.49
Ag: 0.7500 0.0000 0.0000  2 Ag 2.85
Ag: 0.2500 0.0000 0.0000  2 Ag 2.85
Zn: 0.2500 0.5000 0.5000  2 Zn 2.85, 8 Th 3.17
Zn: 0.7500 0.5000 0.5000  2 Zn 2.85, 8 Th 3.17

=====

VASP calculation (GGA-PBE) on a relaxed structure of ThZn2Ag10.

Values from the calculation:
SG = No. 69

abc: 5.3809 7.2410 7.2822
angles: 82.11 68.32 68.19
Closest atoms and distances in Å follow each position.
Fractional positions:
Zn: 0.0000 0.5000 0.0000  2 Zn 2.69, 8 Ag 2.71-2.84
Zn: 0.5000 0.5000 0.0000  2 Zn 2.69, 8 Ag 2.71-2.84
Ag: 0.5000 0.0000 0.5000  10 Ag 2.69-2.95
Ag: 0.0076 0.6437 0.3412  2 Zn 2.84, 7 Ag 2.89-3.18
Ag: 0.2854 0.2202 0.2089  2 Zn 2.71, 7 Ag 2.81-2.98
Ag: 0.4943 0.2202 0.7911  2 Zn 2.71, 7 Ag 2.81-2.98
Ag: 0.6512 0.3563 0.3412  2 Zn 2.84, 7 Ag 2.89-3.18
Ag: 0.0000 0.0000 0.5000  10 Ag 2.69-2.95
Ag: 0.7146 0.7798 0.7911  2 Zn 2.71, 7 Ag 2.81-2.98
Ag: 0.9924 0.3563 0.6588  2 Zn 2.84, 7 Ag 2.89-3.18
Ag: 0.5057 0.7798 0.2089  2 Zn 2.71, 7 Ag 2.81-2.98
Ag: 0.3488 0.6437 0.6588  2 Zn 2.84, 7 Ag 2.89-3.18
Th: 0.0000 0.0000 0.0000  16 Ag 3.33-3.64, 4 Zn 3.62

=====

Energy relative to the elements readings, ordered: -0.17 -0.14 -0.21 -0.10 -0.16 -0.11 -0.10 -0.01 -0.14 -0.20 -0.10 -0.03 eV per atom